## P
VAg2Br5 after structural relaxation, computed with PBE-GGA.

**Crystal system**: triclinic
**Space group**: P1

Cell lengths 7.576, 7.685, 7.692 Å; angles 91.46, 118.15, 117.98 degrees
Fractional positions:
1 V 0.000 0.000 0.000
2 Ag 0.498 0.096 0.899
3 Ag 0.499 0.523 0.477
4 Br 0.002 0.788 0.215
5 Br 0.040 0.926 0.713
6 Br 0.462 0.254 0.239
7 Br 0.537 0.758 0.747
8 Br 0.956 0.286 0.072

---

## Q
VAg2Br5 after structural relaxation, computed with PBE-GGA.

**Crystal system**: monoclinic
**Space group**: Cm

Cell lengths 7.305, 7.305, 6.646 Å; angles 114.87, 114.87, 71.22 degrees
Fractional positions:
1 V 0.000 0.000 0.000
2 Ag 0.552 0.904 0.303
3 Ag 0.904 0.552 0.303
4 Br 0.244 0.244 0.326
5 Br 0.281 0.770 0.866
6 Br 0.749 0.749 0.656
7 Br 0.770 0.281 0.866
8 Br 0.933 0.933 0.288

---

Stability verdict: Q, ahead by 22 meV/atom

---

## P
Ag3WBr after structural relaxation, computed with PBE-GGA.

**Crystal system**: cubic
**Space group**: Pm-3m

Cell lengths 5.131, 5.131, 5.131 Å; angles 90.00, 90.00, 90.00 degrees
Fractional positions:
1 Ag 0.000 0.000 0.500
2 Ag 0.000 0.500 0.000
3 Ag 0.500 0.000 0.000
4 W 0.500 0.500 0.500
5 Br 0.000 0.000 0.000

---

## Q
Ag3WBr after structural relaxation, computed with PBE-GGA.

**Crystal system**: cubic
**Space group**: Pm-3m

Cell lengths 5.181, 5.181, 5.181 Å; angles 90.00, 90.00, 90.00 degrees
Fractional positions:
1 Ag 0.000 0.000 0.500
2 Ag 0.000 0.500 0.000
3 Ag 0.500 0.000 0.000
4 W 0.000 0.000 0.000
5 Br 0.500 0.500 0.500

---

Stability verdict: Q, ahead by 130 meV/atom

---

## P
YAgBr2 after structural relaxation, computed with PBE-GGA.

**Crystal system**: cubic
**Space group**: Fm-3m

Cell lengths 5.152, 5.152, 5.152 Å; angles 60.00, 60.00, 60.00 degrees
Fractional positions:
1 Y 0.000 0.000 0.000
2 Ag 0.500 0.500 0.500
3 Br 0.250 0.250 0.250
4 Br 0.750 0.750 0.750

---

## Q
YAgBr2 after structural relaxation, computed with PBE-GGA.

**Crystal system**: tetragonal
**Space group**: I-4m2

Cell lengths 5.787, 5.787, 5.787 Å; angles 134.35, 134.35, 66.54 degrees
Fractional positions:
1 Y 0.000 0.000 0.000
2 Ag 0.250 0.750 0.500
3 Br 0.500 0.500 0.000
4 Br 0.750 0.250 0.500

---

## R
YAgBr2 after structural relaxation, computed with PBE-GGA.

**Crystal system**: tetragonal
**Space group**: P4mm

Cell lengths 3.717, 3.717, 8.360 Å; angles 90.00, 90.00, 90.00 degrees
Fractional positions:
1 Y 0.000 0.000 0.000
2 Ag 0.500 0.500 0.192
3 Br 0.000 0.000 0.349
4 Br 0.500 0.500 0.773

---

## S
YAgBr2 after structural relaxation, computed with PBE-GGA.

**Crystal system**: trigonal
**Space group**: R-3m

Cell lengths 10.388, 10.388, 10.388 Å; angles 20.53, 20.53, 20.53 degrees
Fractional positions:
1 Y 0.000 0.000 0.000
2 Ag 0.500 0.500 0.500
3 Br 0.396 0.396 0.396
4 Br 0.604 0.604 0.604

---

Stability verdict: R, ahead by 16 meV/atom

---

## P
YAgBr2 after structural relaxation, computed with PBE-GGA.

**Crystal system**: monoclinic
**Space group**: Cm

Cell lengths 6.696, 6.696, 7.645 Å; angles 124.08, 124.08, 32.13 degrees
Fractional positions:
1 Y 0.000 0.000 0.000
2 Ag 0.289 0.289 0.686
3 Br 0.526 0.526 0.306
4 Br 0.654 0.654 0.970

---

## Q
YAgBr2 after structural relaxation, computed with PBE-GGA.

**Crystal system**: orthorhombic
**Space group**: Imm2

Cell lengths 7.811, 7.811, 7.811 Å; angles 154.07, 142.28, 46.34 degrees
Fractional positions:
1 Y 0.000 0.000 0.000
2 Ag 0.178 0.678 0.500
3 Br 0.525 0.525 0.000
4 Br 0.844 0.344 0.500

---

Stability verdict: P, ahead by 162 meV/atom